A plane-wave DFT calculation with PBE-GGA was carried out for Pm3Dy3TmTe8 after structural relaxation.

**Calculated volume**: 478.73 Å³/f.u.
**D(E_F)**: 0.46 states/eV/atom
**Uncorrected energy**: -5.2362 eV per atom

Cell lengths 8.7618, 8.7618, 8.8001 Å; angles 119.86, 90.00, 120.00 degrees
Fractional coordinates of all 15 atoms:
Te: 0.2530 0.5059 0.2589
Dy: 0.5000 0.5000 0.5000
Te: 0.2567 0.0060 0.2553
Te: 0.7493 0.0060 0.2552
Te: 0.7470 0.4941 0.7411
Te: 0.7433 0.9940 0.7447
Te: 0.2507 0.9940 0.7448
Te: 0.7493 0.4985 0.2552
Tm: 0.0000 0.0000 0.5000
Te: 0.2507 0.5015 0.7448
Pm: 0.0000 0.5000 0.0000
Pm: 0.5000 0.5000 0.0000
Dy: 0.0000 0.5000 0.5000
Pm: 0.0000 0.0000 0.0000
Dy: 0.5000 0.0000 0.5000

A plane-wave DFT calculation with PBE-GGA was carried out for PmDyTm2Te6 after structural relaxation.

**Calculated volume**: 360.16 Å³/f.u.
**Uncorrected energy**: -5.0633 eV per atom

Cell lengths 7.7053, 7.7054, 8.2971 Å; angles 62.34, 62.34, 60.00 degrees
Fractional coordinates of all 10 atoms:
Tm: 0.5086 0.5086 0.4742
Te: 0.2381 0.9091 0.2465
Te: 0.1157 0.3998 0.7497
Tm: 0.0071 0.0071 0.9787
Te: 0.3998 0.7347 0.7497
Te: 0.7347 0.1157 0.7497
Dy: 0.3221 0.3221 0.0336
Te: 0.6063 0.2381 0.2465
Pm: 0.8200 0.8200 0.5400
Te: 0.9091 0.6063 0.2465

A plane-wave DFT calculation with PBE-GGA was carried out for Pm2DyTmTe5 after structural relaxation.

**Calculated volume**: 347.00 Å³/f.u.
**D(E_F)**: 0.58 states/eV/atom
**Uncorrected energy**: -4.5968 eV per atom

Cell lengths 5.4871, 5.4871, 11.5250 Å; angles 90.00, 90.00, 90.00 degrees
Site moments in Bohr magnetons follow the coordinates.
Fractional coordinates of all 9 atoms:
Pm: 0.5000 0.5000 0.6613  0.12
Pm: 0.5000 0.5000 0.3387  0.12
Te: 0.5000 0.0000 0.5000  0.00
Dy: 0.0000 0.0000 0.0000  0.01
Te: 0.0000 0.0000 0.7534  0.00
Te: 0.5000 0.5000 0.0000  0.01
Te: 0.0000 0.5000 0.5000  0.00
Te: 0.0000 0.0000 0.2466  0.00
Tm: 0.0000 0.0000 0.5000  0.02

A plane-wave DFT calculation with PBE-GGA was carried out for PmDy2Tm3Te6 after structural relaxation.

**Calculated volume**: 348.44 Å³/f.u.
**D(E_F)**: 0.52 states/eV/atom
**Uncorrected energy**: -5.0991 eV per atom

Cell lengths 4.3092, 8.7697, 9.7680 Å; angles 104.22, 102.74, 90.00 degrees
Fractional coordinates of all 12 atoms:
Pm: 0.5000 0.0000 0.0000
Dy: 0.1637 0.3269 0.3275
Te: 0.9994 0.2597 0.9988
Te: 0.6669 0.5842 0.3338
Te: 0.3331 0.4158 0.6662
Te: 0.6717 0.0802 0.3435
Tm: 0.5000 0.5000 0.0000
Dy: 0.8363 0.6731 0.6725
Te: 0.3283 0.9198 0.6565
Te: 0.0006 0.7403 0.0012
Tm: 0.1629 0.8307 0.3258
Tm: 0.8371 0.1693 0.6742

A plane-wave DFT calculation with PBE-GGA was carried out for PmDy2TmTe5 after structural relaxation.

**Calculated volume**: 351.96 Å³/f.u.
**D(E_F)**: 0.49 states/eV/atom
**Uncorrected energy**: -4.4877 eV per atom

Cell lengths 5.4863, 5.4863, 11.6932 Å; angles 90.00, 90.00, 90.00 degrees
Site moments in Bohr magnetons follow the coordinates.
Fractional coordinates of all 9 atoms:
Te: 0.0000 0.5000 0.5000  0.00
Pm: 0.0000 0.0000 0.0000  0.00
Te: 0.0000 0.0000 0.2507  0.00
Tm: 0.0000 0.0000 0.5000  0.02
Dy: 0.5000 0.5000 0.3516  0.19
Te: 0.5000 0.5000 0.0000  0.01
Te: 0.5000 0.0000 0.5000  0.00
Te: 0.0000 0.0000 0.7493  0.00
Dy: 0.5000 0.5000 0.6484  0.19

A plane-wave DFT calculation with PBE-GGA was carried out for Pm3DyTm2Te6 after structural relaxation.

**Calculated volume**: 359.63 Å³/f.u.
**D(E_F)**: 0.50 states/eV/atom
**Uncorrected energy**: -5.2004 eV per atom

Cell lengths 4.3400, 8.8975, 9.8859 Å; angles 104.69, 102.68, 90.00 degrees
Fractional coordinates of all 12 atoms:
Te: 0.3295 0.4257 0.6590
Dy: 0.5000 0.0000 0.0000
Te: 0.9961 0.7544 0.9922
Te: 0.3343 0.9085 0.6686
Te: 0.0039 0.2456 0.0078
Te: 0.6705 0.5743 0.3410
Pm: 0.5000 0.5000 0.0000
Te: 0.6657 0.0915 0.3314
Pm: 0.1643 0.8317 0.3287
Tm: 0.8345 0.6695 0.6690
Tm: 0.1655 0.3305 0.3310
Pm: 0.8357 0.1683 0.6713

A plane-wave DFT calculation with PBE-GGA was carried out for Pm2DyTmTe6 after structural relaxation.

**Calculated volume**: 369.84 Å³/f.u.
**Uncorrected energy**: -5.1050 eV per atom

Cell lengths 7.7831, 7.7829, 8.3599 Å; angles 62.26, 62.26, 60.00 degrees
Fractional coordinates of all 10 atoms:
Pm: 0.5128 0.5129 0.4615
Tm: 0.3243 0.3243 0.0271
Te: 0.0972 0.4297 0.7572
Dy: 0.8239 0.8239 0.5283
Te: 0.7159 0.0972 0.7572
Te: 0.2185 0.9328 0.2548
Pm: 0.0125 0.0125 0.9624
Te: 0.5939 0.2185 0.2548
Te: 0.9328 0.5938 0.2548
Te: 0.4297 0.7160 0.7572

A plane-wave DFT calculation with PBE-GGA was carried out for PmDy2Y3Te6 after structural relaxation.

**Calculated volume**: 356.32 Å³/f.u.
**D(E_F)**: 0.56 states/eV/atom
**Uncorrected energy**: -5.6663 eV per atom

Cell lengths 4.3570, 8.8037, 9.7857 Å; angles 102.82, 102.86, 90.00 degrees
Fractional coordinates of all 12 atoms:
Dy: 0.8356 0.6705 0.6711
Te: 0.9989 0.7434 0.9978
Dy: 0.1644 0.3295 0.3289
Te: 0.0011 0.2566 0.0022
Te: 0.3294 0.9146 0.6589
Te: 0.6706 0.0854 0.3411
Te: 0.3320 0.4175 0.6640
Te: 0.6680 0.5825 0.3360
Y: 0.5000 0.5000 0.0000
Y: 0.8373 0.1671 0.6746
Y: 0.1627 0.8329 0.3254
Pm: 0.5000 0.0000 0.0000

A plane-wave DFT calculation with PBE-GGA was carried out for PmDy2YTe6 after structural relaxation.

**Calculated volume**: 367.15 Å³/f.u.
**Uncorrected energy**: -5.2990 eV per atom

Cell lengths 7.7497, 7.7496, 8.3578 Å; angles 62.38, 62.38, 60.00 degrees
Fractional coordinates of all 10 atoms:
Te: 0.2343 0.9140 0.2482
Te: 0.7312 0.1123 0.7511
Y: 0.3226 0.3227 0.0320
Te: 0.4054 0.7312 0.7512
Dy: 0.5094 0.5094 0.4717
Pm: 0.8208 0.8207 0.5378
Te: 0.9140 0.6036 0.2481
Te: 0.1123 0.4053 0.7511
Te: 0.6036 0.2343 0.2481
Dy: 0.0080 0.0080 0.9759

A plane-wave DFT calculation with PBE-GGA was carried out for PmDyY2Te6 after structural relaxation.

**Calculated volume**: 367.32 Å³/f.u.
**Uncorrected energy**: -5.4910 eV per atom

Cell lengths 7.7503, 7.7503, 8.3593 Å; angles 62.38, 62.38, 60.00 degrees
Fractional coordinates of all 10 atoms:
Y: 0.0082 0.0082 0.9754
Y: 0.5095 0.5095 0.4714
Dy: 0.3227 0.3228 0.0317
Te: 0.2343 0.9150 0.2481
Te: 0.7303 0.1114 0.7518
Te: 0.9150 0.6026 0.2481
Pm: 0.8210 0.8210 0.5370
Te: 0.1114 0.4065 0.7518
Te: 0.4065 0.7303 0.7518
Te: 0.6027 0.2343 0.2481

A plane-wave DFT calculation with PBE-GGA was carried out for Pm3DyY3Te8 after structural relaxation.

**Calculated volume**: 480.94 Å³/f.u.
**D(E_F)**: 0.47 states/eV/atom
**Uncorrected energy**: -5.6398 eV per atom

Cell lengths 8.7822, 8.7825, 8.8066 Å; angles 119.91, 90.00, 120.00 degrees
Fractional coordinates of all 15 atoms:
Te: 0.2529 0.9945 0.7475
Y: 0.0000 0.5000 0.5000
Te: 0.2527 0.5054 0.2582
Te: 0.2529 0.5059 0.7475
Dy: 0.0000 0.0000 0.5000
Te: 0.2584 0.0055 0.2525
Pm: 0.0000 0.0000 0.0000
Te: 0.7416 0.9945 0.7475
Pm: 0.0000 0.5000 0.0000
Te: 0.7471 0.0055 0.2525
Te: 0.7473 0.4946 0.7418
Te: 0.7471 0.4941 0.2525
Y: 0.5000 0.5000 0.5000
Pm: 0.5000 0.5000 0.0000
Y: 0.5000 0.0000 0.5000

A plane-wave DFT calculation with PBE-GGA was carried out for PmDy3Y2Te6 after structural relaxation.

**Calculated volume**: 355.85 Å³/f.u.
**D(E_F)**: 0.55 states/eV/atom
**Uncorrected energy**: -5.5061 eV per atom

Cell lengths 4.3562, 8.7988, 9.7868 Å; angles 103.00, 102.86, 90.00 degrees
Fractional coordinates of all 12 atoms:
Te: 0.0004 0.2569 0.0009
Pm: 0.5000 0.0000 0.0000
Te: 0.6705 0.0841 0.3411
Te: 0.3295 0.9159 0.6589
Y: 0.8355 0.6706 0.6710
Te: 0.6675 0.5837 0.3350
Dy: 0.5000 0.5000 0.0000
Dy: 0.1632 0.8331 0.3265
Te: 0.3325 0.4163 0.6650
Dy: 0.8368 0.1669 0.6735
Te: 0.9996 0.7431 0.9991
Y: 0.1645 0.3294 0.3290